P.
# PaSeCl2 (PBE, optimized geometry)
data_PaSeCl2
_chemical_formula_sum 'Pa1 Se1 Cl2'
_space_group_name_H-M_alt 'P 1'
_space_group_IT_number 1
_cell_length_a 3.693
_cell_length_b 4.409
_cell_length_c 8.044
_cell_angle_alpha 105.73
_cell_angle_beta 90.00
_cell_angle_gamma 90.00
loop_
_space_group_symop_operation_xyz
'x,y,z'
loop_
_atom_site_label
_atom_site_fract_x
_atom_site_fract_y
_atom_site_fract_z
_atom_site_occupancy
Pa1 0.000 0.736 0.597 1
Se1 0.500 0.266 0.657 1
Cl1 0.000 0.897 0.922 1
Cl2 0.500 0.602 0.325 1
# **Space-group type**: No. 6
# **Volume**: 126.1 Å³/cell
# **Mass density**: 5.02 g cm⁻³



Q.
# PaSeCl2 (PBE, optimized geometry)
data_PaSeCl2
_chemical_formula_sum 'Pa2 Se2 Cl4'
_space_group_name_H-M_alt 'P 1'
_space_group_IT_number 1
_cell_length_a 4.120
_cell_length_b 10.101
_cell_length_c 7.019
_cell_angle_alpha 92.39
_cell_angle_beta 90.00
_cell_angle_gamma 90.00
loop_
_space_group_symop_operation_xyz
'x,y,z'
loop_
_atom_site_label
_atom_site_fract_x
_atom_site_fract_y
_atom_site_fract_z
_atom_site_occupancy
Pa1 0.750 0.325 0.409 1
Pa2 0.250 0.675 0.591 1
Se1 0.750 0.511 0.730 1
Se2 0.250 0.489 0.270 1
Cl1 0.750 0.174 0.113 1
Cl2 0.250 0.826 0.887 1
Cl3 0.750 0.811 0.426 1
Cl4 0.250 0.189 0.574 1
# **Space-group type**: No. 11
# **Volume**: 291.8 Å³/cell
# **Mass density**: 4.34 g cm⁻³



Relative energy table, unit meV/atom: P 70; Q 0



P.
# SrPaCl6 (PBE, optimized geometry)
data_SrPaCl6
_chemical_formula_sum 'Sr1 Pa1 Cl6'
_space_group_name_H-M_alt 'P 1'
_space_group_IT_number 1
_cell_length_a 7.069
_cell_length_b 7.064
_cell_length_c 7.619
_cell_angle_alpha 62.31
_cell_angle_beta 62.34
_cell_angle_gamma 59.96
loop_
_space_group_symop_operation_xyz
'x,y,z'
loop_
_atom_site_label
_atom_site_fract_x
_atom_site_fract_y
_atom_site_fract_z
_atom_site_occupancy
Sr1 0.500 0.500 0.500 1
Pa1 0.000 0.000 0.000 1
Cl1 0.089 0.383 0.761 1
Cl2 0.768 0.089 0.761 1
Cl3 0.618 0.233 0.239 1
Cl4 0.232 0.911 0.239 1
Cl5 0.911 0.617 0.239 1
Cl6 0.382 0.767 0.761 1
# **Space-group type**: No. 2
# **Volume**: 278.0 Å³/cell
# **Mass density**: 3.17 g cm⁻³



Q.
# SrPaCl6 (PBE, optimized geometry)
data_SrPaCl6
_chemical_formula_sum 'Sr1 Pa1 Cl6'
_space_group_name_H-M_alt 'P 1'
_space_group_IT_number 1
_cell_length_a 7.069
_cell_length_b 7.069
_cell_length_c 6.998
_cell_angle_alpha 97.38
_cell_angle_beta 97.38
_cell_angle_gamma 120.06
loop_
_space_group_symop_operation_xyz
'x,y,z'
loop_
_atom_site_label
_atom_site_fract_x
_atom_site_fract_y
_atom_site_fract_z
_atom_site_occupancy
Sr1 0.000 0.000 0.000 1
Pa1 0.500 0.500 0.500 1
Cl1 0.253 0.253 0.729 1
Cl2 0.424 0.130 0.264 1
Cl3 0.747 0.747 0.271 1
Cl4 0.870 0.576 0.736 1
Cl5 0.576 0.870 0.736 1
Cl6 0.130 0.424 0.264 1
# **Space-group type**: No. 12
# **Volume**: 292.5 Å³/cell
# **Mass density**: 3.02 g cm⁻³



Relative energy table, unit meV/atom: P 0; Q 8



P.
# PaTeCl2 (PBE, optimized geometry)
data_PaTeCl2
_chemical_formula_sum 'Pa1 Te1 Cl2'
_space_group_name_H-M_alt 'P 1'
_space_group_IT_number 1
_cell_length_a 3.829
_cell_length_b 4.837
_cell_length_c 7.765
_cell_angle_alpha 107.97
_cell_angle_beta 90.00
_cell_angle_gamma 90.00
loop_
_space_group_symop_operation_xyz
'x,y,z'
loop_
_atom_site_label
_atom_site_fract_x
_atom_site_fract_y
_atom_site_fract_z
_atom_site_occupancy
Pa1 0.000 0.732 0.589 1
Te1 0.500 0.271 0.668 1
Cl1 0.000 0.902 0.931 1
Cl2 0.500 0.596 0.313 1
# **Space-group type**: No. 6
# **Volume**: 136.8 Å³/cell
# **Mass density**: 5.21 g cm⁻³



Q.
# PaTeCl2 (PBE, optimized geometry)
data_PaTeCl2
_chemical_formula_sum 'Pa2 Te2 Cl4'
_space_group_name_H-M_alt 'P 1'
_space_group_IT_number 1
_cell_length_a 3.775
_cell_length_b 5.992
_cell_length_c 12.580
_cell_angle_alpha 90.00
_cell_angle_beta 90.00
_cell_angle_gamma 108.36
loop_
_space_group_symop_operation_xyz
'x,y,z'
loop_
_atom_site_label
_atom_site_fract_x
_atom_site_fract_y
_atom_site_fract_z
_atom_site_occupancy
Pa1 0.800 0.600 0.750 1
Pa2 0.200 0.400 0.250 1
Te1 0.909 0.818 0.250 1
Te2 0.091 0.182 0.750 1
Cl1 0.364 0.728 0.601 1
Cl2 0.636 0.272 0.399 1
Cl3 0.364 0.728 0.899 1
Cl4 0.636 0.272 0.101 1
# **Space-group type**: No. 63
# **Volume**: 270.1 Å³/cell
# **Mass density**: 5.28 g cm⁻³



Relative energy table, unit meV/atom: P 34; Q 0



P.
# PaTl2Cl8 (PBE, optimized geometry)
data_PaTl2Cl8
_chemical_formula_sum 'Pa1 Tl2 Cl8'
_space_group_name_H-M_alt 'P 1'
_space_group_IT_number 1
_cell_length_a 9.974
_cell_length_b 8.383
_cell_length_c 5.842
_cell_angle_alpha 89.57
_cell_angle_beta 90.00
_cell_angle_gamma 126.50
loop_
_space_group_symop_operation_xyz
'x,y,z'
loop_
_atom_site_label
_atom_site_fract_x
_atom_site_fract_y
_atom_site_fract_z
_atom_site_occupancy
Tl1 0.611 0.221 0.244 1
Tl2 0.389 0.779 0.756 1
Pa1 0.000 0.000 0.000 1
Cl1 0.901 0.168 0.237 1
Cl2 0.267 0.168 0.237 1
Cl3 0.099 0.832 0.763 1
Cl4 0.390 0.780 0.253 1
Cl5 0.733 0.832 0.763 1
Cl6 0.847 0.694 0.262 1
Cl7 0.153 0.306 0.738 1
Cl8 0.610 0.220 0.747 1
# **Space-group type**: No. 12
# **Volume**: 392.6 Å³/cell
# **Mass density**: 3.91 g cm⁻³



Q.
# PaTl2Cl8 (PBE, optimized geometry)
data_PaTl2Cl8
_chemical_formula_sum 'Pa1 Tl2 Cl8'
_space_group_name_H-M_alt 'P 1'
_space_group_IT_number 1
_cell_length_a 4.784
_cell_length_b 6.984
_cell_length_c 10.930
_cell_angle_alpha 105.81
_cell_angle_beta 102.64
_cell_angle_gamma 90.00
loop_
_space_group_symop_operation_xyz
'x,y,z'
loop_
_atom_site_label
_atom_site_fract_x
_atom_site_fract_y
_atom_site_fract_z
_atom_site_occupancy
Pa1 0.500 0.000 0.000 1
Tl1 0.824 0.408 0.647 1
Tl2 0.176 0.592 0.353 1
Cl1 0.419 0.628 0.838 1
Cl2 0.612 0.938 0.225 1
Cl3 0.757 0.724 0.514 1
Cl4 0.989 0.204 0.979 1
Cl5 0.243 0.276 0.486 1
Cl6 0.388 0.062 0.775 1
Cl7 0.581 0.372 0.162 1
Cl8 0.011 0.796 0.021 1
# **Space-group type**: No. 12
# **Volume**: 342.2 Å³/cell
# **Mass density**: 4.48 g cm⁻³



Relative energy table, unit meV/atom: P 0; Q 95



P.
# PaTl3Cl6 (PBE, optimized geometry)
data_PaTl3Cl6
_chemical_formula_sum 'Pa2 Tl6 Cl12'
_space_group_name_H-M_alt 'P 1'
_space_group_IT_number 1
_cell_length_a 7.685
_cell_length_b 8.150
_cell_length_c 11.670
_cell_angle_alpha 90.99
_cell_angle_beta 90.00
_cell_angle_gamma 90.00
loop_
_space_group_symop_operation_xyz
'x,y,z'
loop_
_atom_site_label
_atom_site_fract_x
_atom_site_fract_y
_atom_site_fract_z
_atom_site_occupancy
Pa1 0.500 0.500 0.500 1
Pa2 0.000 0.000 0.000 1
Tl1 0.166 0.495 0.209 1
Tl2 0.500 0.500 0.000 1
Tl3 0.834 0.505 0.791 1
Tl4 0.334 0.995 0.709 1
Tl5 0.000 0.000 0.500 1
Tl6 0.666 0.005 0.291 1
Cl1 0.848 0.264 0.099 1
Cl2 0.804 0.349 0.495 1
Cl3 0.940 0.119 0.791 1
Cl4 0.060 0.881 0.209 1
Cl5 0.196 0.651 0.505 1
Cl6 0.152 0.736 0.901 1
Cl7 0.652 0.764 0.599 1
Cl8 0.696 0.849 0.995 1
Cl9 0.560 0.619 0.291 1
Cl10 0.440 0.381 0.709 1
Cl11 0.304 0.151 0.005 1
Cl12 0.348 0.236 0.401 1
# **Space-group type**: No. 14
# **Volume**: 730.9 Å³/cell
# **Mass density**: 4.80 g cm⁻³



Q.
# PaTl3Cl6 (PBE, optimized geometry)
data_PaTl3Cl6
_chemical_formula_sum 'Pa1 Tl3 Cl6'
_space_group_name_H-M_alt 'P 1'
_space_group_IT_number 1
_cell_length_a 7.281
_cell_length_b 7.281
_cell_length_c 8.593
_cell_angle_alpha 107.84
_cell_angle_beta 107.84
_cell_angle_gamma 106.07
loop_
_space_group_symop_operation_xyz
'x,y,z'
loop_
_atom_site_label
_atom_site_fract_x
_atom_site_fract_y
_atom_site_fract_z
_atom_site_occupancy
Pa1 0.000 0.000 0.000 1
Tl1 0.750 0.250 0.500 1
Tl2 0.500 0.500 0.000 1
Tl3 0.250 0.750 0.500 1
Cl1 0.655 0.655 0.739 1
Cl2 0.916 0.916 0.261 1
Cl3 0.084 0.084 0.739 1
Cl4 0.345 0.345 0.261 1
Cl5 0.773 0.227 0.000 1
Cl6 0.227 0.773 0.000 1
# **Space-group type**: No. 69
# **Volume**: 376.7 Å³/cell
# **Mass density**: 4.66 g cm⁻³



Relative energy table, unit meV/atom: P 0; Q 10